1.
{
  "formula": "ZrGaP",
  "functional": "PBE",
  "state": "optimized geometry",
  "cell": [[5.075, -1.755, 0.000], [5.075, 1.755, 0.000], [-1.806, 0.000, 6.024]],
  "species": ["Zr", "Zr", "Ga", "Ga", "P", "P"],
  "frac_coords": [[0.000, 0.000, 0.000], [0.202, 0.202, 0.594], [0.290, 0.290, 0.193], [0.918, 0.918, 0.539], [0.542, 0.542, 0.331], [0.685, 0.685, 0.909]],
  "density_kg_m3": 5940,
  "de_polymorph_ev_per_fu": 0.22,
  "n_ef_per_ev_cell": 1.0,
  "formation_energy_kj_per_mol_atoms": -66,
  "magnetic_moment_mub_per_fu": 0.0
}

2.
{
  "formula": "Rb2ZrReP",
  "functional": "PBE",
  "state": "optimized geometry",
  "cell": [[6.910, 0.000, 0.000], [0.000, 6.910, 0.000], [0.000, 0.000, 4.723]],
  "species": ["Rb", "Rb", "Zr", "Re", "P"],
  "frac_coords": [[0.000, 0.500, 0.000], [0.500, 0.000, 0.000], [0.000, 0.000, 0.000], [0.000, 0.000, 0.500], [0.500, 0.500, 0.500]],
  "density_kg_m3": 3529,
  "n_ef_per_ev_cell": 3.1,
  "formation_energy_kj_per_mol_atoms": 165,
  "magnetic_moment_mub_per_fu": 2.0
}

3.
{
  "formula": "LiHoAl",
  "functional": "PBE",
  "state": "optimized geometry",
  "cell": [[3.602, 0.000, 0.000], [0.000, 4.658, 0.000], [-0.026, 0.000, 8.066]],
  "species": ["Li", "Li", "Ho", "Ho", "Al", "Al"],
  "frac_coords": [[0.249, 0.250, 0.478], [0.751, 0.750, 0.522], [0.252, 0.750, 0.865], [0.748, 0.250, 0.135], [0.248, 0.750, 0.253], [0.752, 0.250, 0.747]],
  "density_kg_m3": 4879,
  "de_polymorph_ev_per_fu": 0.06,
  "n_ef_per_ev_cell": 4.2,
  "formation_energy_kj_per_mol_atoms": -18,
  "magnetic_moment_mub_per_fu": 0.0
}

4.
{
  "formula": "Ba2MgBe",
  "functional": "PBE",
  "state": "optimized geometry",
  "cell": [[-1.968, 2.970, 5.908], [1.968, -2.970, 5.908], [1.968, 2.970, -5.908]],
  "species": ["Ba", "Ba", "Mg", "Be"],
  "frac_coords": [[0.000, 0.000, 0.000], [0.685, 0.185, 0.500], [0.385, 0.385, 0.000], [0.234, 0.734, 0.500]],
  "density_kg_m3": 3702,
  "de_polymorph_ev_per_fu": 0.04,
  "n_ef_per_ev_cell": 4.6,
  "formation_energy_kj_per_mol_atoms": 27,
  "magnetic_moment_mub_per_fu": 0.0
}

5.
{
  "formula": "SrBi6Pb",
  "functional": "PBE",
  "state": "optimized geometry",
  "cell": [[5.618, 0.000, 0.000], [0.000, 4.807, 4.951], [0.000, -4.807, 4.951]],
  "species": ["Sr", "Bi", "Bi", "Bi", "Bi", "Bi", "Bi", "Pb"],
  "frac_coords": [[0.000, 0.000, 0.000], [0.000, 0.061, 0.502], [0.000, 0.502, 0.061], [0.500, 0.236, 0.236], [0.500, 0.239, 0.716], [0.500, 0.716, 0.239], [0.500, 0.763, 0.763], [0.000, 0.587, 0.587]],
  "density_kg_m3": 9617,
  "n_ef_per_ev_cell": 3.2,
  "formation_energy_kj_per_mol_atoms": -16,
  "magnetic_moment_mub_per_fu": 0.0
}

6.
{
  "formula": "ZrBiH2",
  "functional": "PBE",
  "state": "optimized geometry",
  "cell": [[2.983, -1.783, 0.000], [2.983, 1.783, 0.000], [-2.038, 0.000, 5.507]],
  "species": ["Zr", "Bi", "H", "H"],
  "frac_coords": [[0.000, 0.000, 0.000], [0.192, 0.192, 0.570], [0.369, 0.369, 0.119], [0.677, 0.677, 0.053]],
  "density_kg_m3": 8565,
  "de_polymorph_ev_per_fu": 0.00,
  "n_ef_per_ev_cell": 1.3,
  "magnetic_moment_mub_per_fu": 0.0
}